Density functional theory data (GGA-PBE) for a relaxed YbY2Se4 crystal.

Unit cell a=4.126 b=7.057 c=7.149 alpha=71.86 beta=90.00 gamma=90.00
Site moments in Bohr magnetons follow the coordinates.
Positions (direct):
1 Yb 0.000 0.500 0.500  0.27
2 Y 0.000 0.000 0.000  -0.01
3 Y 0.500 0.500 0.000  0.00
4 Se 0.500 0.756 0.247  0.00
5 Se 0.000 0.257 0.236  0.00
6 Se 0.500 0.244 0.753  0.00
7 Se 0.000 0.743 0.764  0.00

Crystal system: monoclinic
E above lowest polymorph: 0.0 meV per atom
Uncorrected formation energy: -1.92 eV per atom



Density functional theory data (GGA-PBE) for a relaxed Tm2GaTc crystal.

Unit cell a=3.500 b=3.500 c=6.812 alpha=90.00 beta=90.00 gamma=90.00
Positions (direct):
1 Tm 0.000 0.000 0.767
2 Tm 0.000 0.000 0.233
3 Tc 0.500 0.500 0.000
4 Ga 0.500 0.500 0.500

ΔE_f: -329 meV/atom
Crystal system: tetragonal



Density functional theory data (GGA-PBE) for a relaxed CeSmBi crystal.

Unit cell a=3.771 b=5.415 c=5.415 alpha=120.00 beta=90.00 gamma=90.00
Site moments in Bohr magnetons follow the coordinates.
Positions (direct):
1 Ce 0.044 0.000 0.000  1.07
2 Bi 0.364 0.333 0.667  -0.02
3 Sm 0.592 0.667 0.333  0.20

ΔE_f: -230 meV/atom
Crystal system: trigonal



Density functional theory data (GGA-PBE) for a relaxed CaMg9Al3 crystal.

Unit cell a=5.722 b=7.632 c=7.709 alpha=82.43 beta=68.21 gamma=69.21
Positions (direct):
1 Ca 0.000 0.000 0.000
2 Mg 0.712 0.787 0.783
3 Mg 0.288 0.213 0.217
4 Mg 0.505 0.213 0.783
5 Mg 0.495 0.787 0.217
6 Mg 0.650 0.348 0.354
7 Mg 0.350 0.652 0.646
8 Mg 0.996 0.652 0.354
9 Mg 0.004 0.348 0.646
10 Mg 0.000 0.500 0.000
11 Al 0.500 0.500 0.000
12 Al 0.000 0.000 0.500
13 Al 0.500 0.000 0.500

ΔE_f: -50 meV/atom
Crystal system: monoclinic



no.,electronic total energy (Ha/atom),V (Å³/atom)
1,-0.220,28.3
2,-0.217,20.9
3,-0.187,31.9
4,-0.080,22.5